Entry 1:
Compound: Na2FeSnCl6
Source: the Alexandria database
Functional: PBE
Structure: relaxed

Structure (extended XYZ):
```
10
Lattice="3.458 1.997 6.171 -3.458 1.997 6.171 0.000 -3.993 6.171" Properties=species:S:1:pos:R:3 pbc="T T T"
Na 0.000 0.000 0.000
Na 0.000 0.000 9.112
Fe 0.000 0.000 12.884
Sn 0.000 0.000 3.705
Cl -1.368 -2.176 7.977
Cl -1.982 0.094 11.263
Cl -1.200 2.272 7.977
Cl 0.909 -1.764 11.263
Cl 2.568 -0.097 7.977
Cl 1.073 1.670 11.263
```

Properties
Its symmetry is R3, No. 146. The value obtained for the formation energy without anion corrections is -1.197 eV/atom.

=====

Entry 2:
Compound: NaFeSnCl2
Source: the Alexandria database
Functional: PBE
Structure: relaxed

Structure (extended XYZ):
```
5
Lattice="5.761 0.000 0.000 0.000 5.761 0.000 0.000 0.000 5.013" Properties=species:S:1:pos:R:3 pbc="T T T"
Na 0.000 0.000 0.000
Fe 2.880 2.880 0.000
Sn 2.880 2.880 2.506
Cl 0.000 2.880 2.506
Cl 2.880 0.000 2.506
```

Properties
Its symmetry is P4/mmm, No. 123. The value obtained for the formation energy without anion corrections is -0.107 eV/atom.

=====

Entry 3:
Compound: NaSrFeCl2
Source: the Alexandria database
Functional: PBE
Structure: relaxed

Structure (extended XYZ):
```
5
Lattice="5.051 0.000 0.000 0.000 5.051 0.000 0.000 0.000 6.155" Properties=species:S:1:pos:R:3 pbc="T T T"
Na 0.000 0.000 0.000
Sr 2.526 2.526 0.000
Fe 2.526 2.526 3.078
Cl 0.000 2.526 3.078
Cl 2.526 0.000 3.078
```

Properties
Its symmetry is P4/mmm, No. 123. The value obtained for the formation energy without anion corrections is -0.222 eV/atom.

=====

Entry 4:
Compound: NaSrFe2Cl8
Source: the Alexandria database
Functional: PBE
Structure: relaxed

Structure (extended XYZ):
```
12
Lattice="7.335 0.000 0.000 -3.667 6.352 0.000 0.000 0.000 8.267" Properties=species:S:1:pos:R:3 pbc="T T T"
Na 0.000 0.000 0.000
Sr 0.000 0.000 4.134
Fe 0.000 4.235 2.728
Fe 3.667 2.117 5.539
Cl -0.007 2.079 1.986
Cl -1.863 5.318 1.986
Cl 1.797 1.045 6.281
Cl 0.000 4.235 4.909
Cl 3.667 2.117 3.358
Cl 1.870 5.307 1.986
Cl 5.531 1.034 6.281
Cl 3.674 4.273 6.281
```

Properties
Its symmetry is P-3, No. 147. The value obtained for the formation energy without anion corrections is -1.328 eV/atom.

=====

Entry 5:
Compound: NaTl2FeCl6
Source: the Alexandria database
Functional: PBE
Structure: relaxed

Structure (extended XYZ):
```
20
Lattice="7.124 0.000 0.000 0.000 7.112 0.000 -7.116 0.000 10.102" Properties=species:S:1:pos:R:3 pbc="T T T"
Na 0.000 0.000 0.000
Na -3.558 3.556 5.051
Tl -3.605 0.279 7.591
Tl -0.047 3.277 2.540
Tl 0.056 3.835 7.562
Tl 3.613 6.833 2.511
Fe 0.004 0.000 5.051
Fe 3.562 3.556 0.000
Cl -1.818 1.366 4.769
Cl -5.376 2.190 9.820
Cl -1.342 5.269 4.808
Cl -4.900 5.399 9.859
Cl 0.374 0.011 2.786
Cl -3.184 3.545 7.837
Cl 3.192 3.567 2.264
Cl -0.366 7.101 7.315
Cl 4.908 1.713 0.243
Cl 1.350 1.843 5.294
Cl 5.384 4.922 0.282
Cl 1.826 5.746 5.333
```

Properties
Its symmetry is P2_1/c, No. 14. The value obtained for the formation energy without anion corrections is -0.979 eV/atom.

=====

Entry 6:
Compound: NaTlFe2Cl6
Source: the Alexandria database
Functional: PBE
Structure: relaxed

Structure (extended XYZ):
```
20
Lattice="6.725 -6.057 0.000 6.725 6.057 0.000 -1.953 0.000 6.963" Properties=species:S:1:pos:R:3 pbc="T T T"
Na 5.260 4.901 5.222
Na 6.236 -4.901 1.741
Tl 6.236 2.376 1.741
Tl 5.260 -2.376 5.222
Fe 2.436 1.087 5.086
Fe 3.412 -1.087 1.604
Fe 8.084 1.087 5.358
Fe 9.060 -1.087 1.877
Cl 0.245 1.044 4.467
Cl 3.149 3.111 5.807
Cl 1.221 -1.044 0.986
Cl 3.849 0.396 3.359
Cl 7.371 3.111 4.637
Cl 2.873 -0.396 6.840
Cl 8.623 0.396 0.122
Cl 4.125 -3.111 2.326
Cl 7.647 -0.396 3.604
Cl 10.276 1.044 5.977
Cl 8.348 -3.111 1.156
Cl 11.252 -1.044 2.496
```

Properties
Its symmetry is C2/c, No. 15. The value obtained for the formation energy without anion corrections is -0.985 eV/atom.

=====

Entry 7:
Compound: NaTlFe2Cl8
Source: the Alexandria database
Functional: PBE
Structure: relaxed

Structure (extended XYZ):
```
12
Lattice="5.535 -3.749 0.000 5.535 3.749 0.000 -0.461 0.000 9.507" Properties=species:S:1:pos:R:3 pbc="T T T"
Na 0.000 0.000 0.000
Tl -0.231 0.000 4.753
Fe 4.079 0.000 2.167
Fe 6.530 0.000 7.340
Cl 5.387 1.812 2.137
Cl 2.818 0.000 0.376
Cl 5.222 1.812 7.370
Cl 2.968 0.000 4.062
Cl 7.641 0.000 5.445
Cl 5.387 -1.812 2.137
Cl 7.791 0.000 9.131
Cl 5.222 -1.812 7.370
```

Properties
Its symmetry is C2/m, No. 12. The value obtained for the formation energy without anion corrections is -1.020 eV/atom.

=====

Entry 8:
Compound: NaTl3Fe2Cl9
Source: the Alexandria database
Functional: PBE
Structure: relaxed

Structure (extended XYZ):
```
15
Lattice="7.119 0.000 0.000 -3.560 6.166 0.000 0.000 0.000 9.088" Properties=species:S:1:pos:R:3 pbc="T T T"
Na 0.000 0.000 0.000
Tl 0.000 0.000 4.544
Tl 0.000 4.110 1.913
Tl 3.560 2.055 7.175
Fe 0.000 4.110 6.130
Fe 3.560 2.055 2.958
Cl -1.780 3.083 4.544
Cl 0.000 2.123 7.343
Cl -1.722 5.104 7.343
Cl 1.838 1.061 1.745
Cl 3.560 0.000 4.544
Cl 1.780 3.083 4.544
Cl 1.722 5.104 7.343
Cl 5.281 1.061 1.745
Cl 3.560 4.043 1.745
```

Properties
Its symmetry is P-3m1, No. 164. The value obtained for the formation energy without anion corrections is -0.977 eV/atom.

=====

Entry 9:
Compound: Na3Tl3FeCl8
Source: the Alexandria database
Functional: PBE
Structure: relaxed

Structure (extended XYZ):
```
15
Lattice="7.116 -4.105 0.000 7.116 4.105 0.000 -4.749 0.000 7.406" Properties=species:S:1:pos:R:3 pbc="T T T"
Na 0.000 0.000 0.000
Na 3.558 2.052 0.000
Na 3.558 -2.052 0.000
Tl 1.184 2.052 3.703
Tl 1.184 -2.052 3.703
Tl 4.742 0.000 3.703
Fe 7.116 0.000 0.000
Cl 2.373 0.000 1.543
Cl 6.066 1.818 1.412
Cl 0.268 0.000 5.994
Cl 3.418 1.818 5.994
Cl 6.066 -1.818 1.412
Cl 9.215 0.000 1.412
Cl 3.418 -1.818 5.994
Cl 7.110 0.000 5.862
```

Properties
Its symmetry is C2/m, No. 12. The value obtained for the formation energy without anion corrections is -1.243 eV/atom.

=====

Entry 10:
Compound: NaTlFeCl6
Source: the Alexandria database
Functional: PBE
Structure: relaxed

Structure (extended XYZ):
```
9
Lattice="6.798 0.000 0.000 -3.399 5.887 0.000 0.000 0.000 6.456" Properties=species:S:1:pos:R:3 pbc="T T T"
Na 0.000 0.000 0.000
Tl 3.399 1.962 3.228
Fe 0.000 3.925 0.000
Cl -0.879 2.304 1.320
Cl -1.844 3.974 5.135
Cl 0.879 2.304 5.135
Cl -0.964 5.497 1.320
Cl 1.844 3.974 1.320
Cl 0.964 5.497 5.135
```

Properties
Its symmetry is P312, No. 149. The value obtained for the formation energy without anion corrections is -0.915 eV/atom.

=====

Entry 11:
Compound: Na2ZnFeCl6
Source: the Alexandria database
Functional: PBE
Structure: relaxed

Structure (extended XYZ):
```
10
Lattice="3.346 1.932 5.737 -3.346 1.932 5.737 0.000 -3.863 5.737" Properties=species:S:1:pos:R:3 pbc="T T T"
Na 0.000 0.000 0.000
Na 0.000 0.000 8.566
Zn 0.000 0.000 3.670
Fe 0.000 0.000 12.236
Cl -1.300 -2.300 7.767
Cl -1.989 0.325 10.636
Cl -1.342 2.276 7.767
Cl 0.713 -1.885 10.636
Cl 2.642 0.024 7.767
Cl 1.276 1.560 10.636
```

Properties
Its symmetry is R3, No. 146. The value obtained for the formation energy without anion corrections is -1.199 eV/atom.

=====

Entry 12:
Compound: NaZnFeCl2
Source: the Alexandria database
Functional: PBE
Structure: relaxed

Structure (extended XYZ):
```
5
Lattice="5.042 0.000 0.000 0.000 5.042 0.000 0.000 0.000 5.349" Properties=species:S:1:pos:R:3 pbc="T T T"
Na 0.000 0.000 0.000
Zn 0.000 0.000 2.674
Fe 2.521 2.521 2.674
Cl 0.000 2.521 0.000
Cl 2.521 0.000 0.000
```

Properties
Its symmetry is P4/mmm, No. 123. The value obtained for the formation energy without anion corrections is 0.228 eV/atom.

=====

no.,volume (Å³ per atom),total energy (eV/atom)
1,25.57,-3.815
2,33.27,-3.602
3,31.41,-3.254
4,32.10,-4.220
5,25.59,-3.539
6,28.36,-4.154
7,32.88,-3.968
8,26.60,-3.774
9,28.84,-3.530
10,28.71,-3.496
11,22.25,-3.545
12,27.20,-2.722